1.
Crystalline Ca2TaVO6 at its relaxed geometry, computed with PBE with a Hubbard U.

```
data_Ca2TaVO6
_chemical_formula_sum 'Ca4 Ta2 V2 O12'
_cell_length_a 5.5039
_cell_length_b 7.7466
_cell_length_c 5.6717
_cell_angle_alpha 90.00
_cell_angle_beta 90.12
_cell_angle_gamma 90.00
_space_group_name_H-M_alt 'P 1 21/m 1'
_space_group_IT_number 11
_space_group_name_Hall '-P 2yb'
loop_
_atom_site_label
_atom_site_fract_x
_atom_site_fract_y
_atom_site_fract_z
Ca1 0.0084 0.2500 0.0418
Ca2 0.4857 0.2500 0.5603
Ta1 0.0000 0.0000 0.5000
V1 0.5000 0.0000 0.0000
O1 0.0947 0.7500 0.5292
O2 0.1946 0.0481 0.7886
O3 0.2906 0.0452 0.3028
O4 0.4222 0.7500 0.0218
```

=====

2.
Crystalline Ca2TaWO6 at its relaxed geometry, computed with PBE with a Hubbard U.

```
data_Ca2TaWO6
_chemical_formula_sum 'Ca4 Ta2 W2 O12'
_cell_length_a 5.5574
_cell_length_b 5.7612
_cell_length_c 9.7017
_cell_angle_alpha 90.00
_cell_angle_beta 124.71
_cell_angle_gamma 90.00
_space_group_name_H-M_alt 'P 1 21/c 1'
_space_group_IT_number 14
_space_group_name_Hall '-P 2ybc'
loop_
_atom_site_label
_atom_site_fract_x
_atom_site_fract_y
_atom_site_fract_z
Ca1 0.2336 0.0523 0.2470
Ta1 0.5000 0.0000 0.0000
W1 0.0000 0.0000 0.5000
O1 0.1593 0.1909 0.9511
O2 0.2532 0.7133 0.9412
O3 0.3636 0.0405 0.7602
```

=====

3.
Crystalline Ca2TaWO6 at its relaxed geometry, computed with PBE with a Hubbard U.

```
data_Ca2TaWO6
_chemical_formula_sum 'Ca4 Ta2 W2 O12'
_cell_length_a 5.5745
_cell_length_b 7.9599
_cell_length_c 5.7631
_cell_angle_alpha 90.00
_cell_angle_beta 90.34
_cell_angle_gamma 90.00
_space_group_name_H-M_alt 'P 1 21/m 1'
_space_group_IT_number 11
_space_group_name_Hall '-P 2yb'
loop_
_atom_site_label
_atom_site_fract_x
_atom_site_fract_y
_atom_site_fract_z
Ca1 0.0092 0.2500 0.4405
Ca2 0.4891 0.2500 0.9553
Ta1 0.5000 0.0000 0.5000
W1 0.0000 0.0000 0.0000
O1 0.1213 0.7500 0.9448
O2 0.2104 0.0504 0.6883
O3 0.3136 0.0520 0.2144
O4 0.4059 0.7500 0.4646
```

=====

4.
Crystalline Ca2TaWO6 at its relaxed geometry, computed with PBE with a Hubbard U.

```
data_Ca2TaWO6
_chemical_formula_sum 'Ca6 Ta3 W3 O18'
_cell_length_a 5.6587
_cell_length_b 5.6587
_cell_length_c 14.1266
_cell_angle_alpha 90.00
_cell_angle_beta 90.00
_cell_angle_gamma 120.00
_space_group_name_H-M_alt 'R 3'
_space_group_IT_number 146
_space_group_name_Hall 'R 3'
loop_
_atom_site_label
_atom_site_fract_x
_atom_site_fract_y
_atom_site_fract_z
Ca1 0.0000 0.0000 0.0000
Ca2 0.0000 0.0000 0.4984
Ta1 0.0000 0.0000 0.2727
W1 0.0000 0.0000 0.7729
O1 0.0259 0.6089 0.0273
O2 0.0774 0.3393 0.8652
```

=====

no.,E (eV/cell)
1,-162.39
2,-160.61
3,-160.09
4,-240.27